1.
The following is a DFT calculation (PBE) of a geometry-optimized Ba2ScTeS6 structure.

**Size of the total moment**: 0.00 μB/f.u.
**Crystal system**: trigonal
**Calculated volume**: 1605 Å³ per cell
**Formation energy without anion corrections**: -1207 meV per atom
**Total DFT energy (no corrections)**: -5.015 eV/atom

a b c (Å): 7.0782 7.0782 37.0003
angles (deg): 90.00 90.00 120.00
Space group R-3m (No. 166, hexagonal axes)
Inequivalent atoms, fractional coordinates:
Ba (0.0000, 0.0000, 0.1188) x6
Ba (0.0000, 0.0000, 0.3044) x6
Sc (0.0000, 0.0000, 0.4149) x6
Te (0.0000, 0.0000, 0.0000) x3
Te (0.0000, 0.0000, 0.5000) x3
S (0.0022, 0.5011, 0.2914) x18
S (0.0037, 0.5018, 0.1269) x18

---

2.
The following is a DFT calculation (PBE) of a geometry-optimized Ba2ScTiS6 structure.

**Size of the total moment**: 0.00 μB/f.u.
**Crystal system**: trigonal
**Calculated volume**: 1453 Å³ per cell
**Formation energy without anion corrections**: -1655 meV per atom
**Total DFT energy (no corrections)**: -5.938 eV/atom

a b c (Å): 6.8867 6.8867 35.3767
angles (deg): 90.00 90.00 120.00
Space group R-3m (No. 166, hexagonal axes)
Inequivalent atoms, fractional coordinates:
Ba (0.0000, 0.0000, 0.1230) x6
Ba (0.0000, 0.0000, 0.2896) x6
Sc (0.0000, 0.0000, 0.0000) x3
Sc (0.0000, 0.0000, 0.5000) x3
Ti (0.0000, 0.0000, 0.4132) x6
S (0.0005, 0.5003, 0.1218) x18
S (0.0049, 0.5024, 0.2914) x18

---

3.
The following is a DFT calculation (PBE) of a geometry-optimized Ba2ScTlS5 structure.

**Size of the total moment**: 0.00 μB/f.u.
**Crystal system**: orthorhombic
**Calculated volume**: 961 Å³ per cell
**Formation energy without anion corrections**: -1513 meV per atom
**Total DFT energy (no corrections)**: -5.200 eV/atom

a b c (Å): 4.0872 18.1914 12.9240
angles (deg): 90.00 90.00 90.00
Space group Cmc2_1 (No. 36)
Inequivalent atoms, fractional coordinates:
Ba (0.0000, 0.1198, 0.0000) x4
Ba (0.0000, 0.1383, 0.6247) x4
Sc (0.0000, 0.2141, 0.3327) x4
Tl (0.0000, 0.4515, 0.7605) x4
S (0.0000, 0.0595, 0.3772) x4
S (0.0000, 0.2896, 0.9607) x4
S (0.0000, 0.3096, 0.6945) x4
S (0.0000, 0.3496, 0.3168) x4
S (0.0000, 0.4944, 0.0855) x4

---

4.
The following is a DFT calculation (PBE) of a geometry-optimized Ba2TmScS5 structure.

**Size of the total moment**: 0.00 μB/f.u.
**Crystal system**: orthorhombic
**Calculated volume**: 956 Å³ per cell
**Formation energy without anion corrections**: -2044 meV per atom
**Total DFT energy (no corrections)**: -5.964 eV/atom

a b c (Å): 4.1929 16.9957 13.4096
angles (deg): 90.00 90.00 90.00
Space group Cmc2_1 (No. 36)
Inequivalent atoms, fractional coordinates:
Ba (0.0000, 0.1057, 0.0000) x4
Ba (0.0000, 0.1442, 0.6195) x4
Tm (0.0000, 0.2121, 0.3320) x4
Sc (0.0000, 0.4723, 0.7676) x4
S (0.0000, 0.0525, 0.3617) x4
S (0.0000, 0.2833, 0.9635) x4
S (0.0000, 0.3222, 0.7031) x4
S (0.0000, 0.3713, 0.3121) x4
S (0.0000, 0.4905, 0.0934) x4

---

5.
The following is a DFT calculation (PBE) of a geometry-optimized BaTmSc4S8 structure.

**Size of the total moment**: 0.00 μB/f.u.
**Crystal system**: trigonal
**Calculated volume**: 1056 Å³ per cell
**Formation energy without anion corrections**: -1826 meV per atom
**Total DFT energy (no corrections)**: -6.450 eV/atom

a b c (Å): 7.8606 7.8606 19.7322
angles (deg): 90.00 90.00 120.00
Space group R3m (No. 160, hexagonal axes)
Inequivalent atoms, fractional coordinates:
Ba (0.0000, 0.0000, 0.0000) x3
Tm (0.0000, 0.0000, 0.6319) x3
Sc (0.0000, 0.0000, 0.2564) x3
Sc (0.1687, 0.3373, 0.4627) x9
S (0.0000, 0.0000, 0.3868) x3
S (0.0000, 0.0000, 0.8567) x3
S (0.0489, 0.5244, 0.3908) x9
S (0.1738, 0.3476, 0.2106) x9

---

6.
The following is a DFT calculation (PBE) of a geometry-optimized Ba2ScUS6 structure.

**Size of the total moment**: 1.01 μB/f.u.
**Crystal system**: monoclinic
**Calculated volume**: 527 Å³ per cell
**Formation energy without anion corrections**: -1844 meV per atom
**Total DFT energy (no corrections)**: -6.467 eV/atom

a b c (Å): 7.1376 7.2581 12.4116
angles (deg): 90.00 124.99 90.00
Space group P2_1/c (No. 14)
Inequivalent atoms, fractional coordinates:
Ba (0.2379, 0.0481, 0.2490) x4
Sc (0.0000, 0.0000, 0.5000) x2
U (0.5000, 0.0000, 0.0000) x2
S (0.1754, 0.2130, 0.9651) x4
S (0.2522, 0.7105, 0.9651) x4
S (0.3148, 0.0090, 0.7484) x4